Material: ScAlCoTc
Method: DFT, PBE
State: relaxed

Cell: 4.408 4.408 4.408 Å, 60.00 60.00 60.00°
Last column: magnetic moment on the atom in μB.
Fractional positions:
Al1 0.000 0.000 0.000  -0.02
Tc1 0.500 0.500 0.500  0.87
Sc1 0.250 0.250 0.250  0.13
Co1 0.750 0.750 0.750  1.58

Calculated values
- space group = No. 216
- electronic total energy (eV per cell) = -27.652

Material: Ho2In8Fe
Method: DFT, PBE
State: relaxed

Cell: 4.576 4.576 12.249 Å, 90.00 90.00 90.00°
Last column: magnetic moment on the atom in μB.
Fractional positions:
Ho1 0.000 0.000 0.307  -0.03
Ho2 0.000 0.000 0.693  -0.03
In1 0.500 0.500 0.693  -0.01
In2 0.500 0.000 0.500  0.00
In3 0.500 0.000 0.119  -0.02
In4 0.500 0.000 0.881  -0.02
In5 0.500 0.500 0.307  -0.01
In6 0.000 0.500 0.500  0.01
In7 0.000 0.500 0.119  -0.02
In8 0.000 0.500 0.881  -0.02
Fe1 0.000 0.000 0.000  0.91

Calculated values
- space group = No. 123
- electronic total energy (eV per cell) = -42.024

Please write out number 1 again, unchanged.
Material: ScAlCoTc
Method: DFT, PBE
State: relaxed

Cell: 4.408 4.408 4.408 Å, 60.00 60.00 60.00°
Last column: magnetic moment on the atom in μB.
Fractional positions:
Al1 0.000 0.000 0.000  -0.02
Tc1 0.500 0.500 0.500  0.87
Sc1 0.250 0.250 0.250  0.13
Co1 0.750 0.750 0.750  1.58

Calculated values
- space group = No. 216
- electronic total energy (eV per cell) = -27.652

Which value of electronic total energy does entry 2 give?
-42.024 eV per cell

Copy entry 2 word for word.
Material: Ho2In8Fe
Method: DFT, PBE
State: relaxed

Cell: 4.576 4.576 12.249 Å, 90.00 90.00 90.00°
Last column: magnetic moment on the atom in μB.
Fractional positions:
Ho1 0.000 0.000 0.307  -0.03
Ho2 0.000 0.000 0.693  -0.03
In1 0.500 0.500 0.693  -0.01
In2 0.500 0.000 0.500  0.00
In3 0.500 0.000 0.119  -0.02
In4 0.500 0.000 0.881  -0.02
In5 0.500 0.500 0.307  -0.01
In6 0.000 0.500 0.500  0.01
In7 0.000 0.500 0.119  -0.02
In8 0.000 0.500 0.881  -0.02
Fe1 0.000 0.000 0.000  0.91

Calculated values
- space group = No. 123
- electronic total energy (eV per cell) = -42.024

Please write out number 1 again, unchanged.
Material: ScAlCoTc
Method: DFT, PBE
State: relaxed

Cell: 4.408 4.408 4.408 Å, 60.00 60.00 60.00°
Last column: magnetic moment on the atom in μB.
Fractional positions:
Al1 0.000 0.000 0.000  -0.02
Tc1 0.500 0.500 0.500  0.87
Sc1 0.250 0.250 0.250  0.13
Co1 0.750 0.750 0.750  1.58

Calculated values
- space group = No. 216
- electronic total energy (eV per cell) = -27.652